Record 1
DFT (PBE) results for a geometry-optimized CsNbNi2Au structure.

It has space group P4/mmm (No. 123), with a = 4.839 Å, b = 4.839 Å, c = 5.454 Å, α = 90.00°, β = 90.00° and γ = 90.00°. The inequivalent atoms are Cs at (0.000, 0.000, 0.000), Nb at (0.500, 0.500, 0.500), Ni at (0.000, 0.500, 0.500) and Au at (0.500, 0.500, 0.000).

The total moment is 0.000 μB per atom.

Record 2
DFT (PBE) results for a geometry-optimized Ho3Er2Co2 structure.

It has space group C2/m (No. 12), with a = 11.843 Å, b = 3.646 Å, c = 8.756 Å, α = 90.00°, β = 116.19° and γ = 90.00°. The inequivalent atoms are Ho at (0.000, 0.000, 0.000), Ho at (0.118, 0.000, 0.428), Er at (0.172, 0.500, 0.805) and Co at (0.179, 0.500, 0.240).

The total moment is 0.000 μB per atom.

no.,final energy (eV per atom),calculated volume (A^3/atom)
1,-4.285,25.5
2,-5.478,24.2